Here is a relaxed SrNb2F11 crystal from Alexandria. Energies are from GGA-PBE.

formation energy (no corrections): -3.201 eV/atom
space-group type: Ibam, No. 72
energy: -6.230 eV per atom
D(E_F): 5.6 states/eV per cell

a = 7.8017 Å, b = 8.5472 Å, c = 8.5472 Å
α = 72.92°, β = 62.85°, γ = 62.85°
Last column: nearest neighbours and their distance in Å.
Atoms (fractional coordinates):
1 Nb 0.8687 0.1798 0.8202  7 F 1.97-2.11
2 Nb 0.1313 0.8202 0.1798  7 F 1.97-2.11
3 Nb 0.3687 0.3202 0.6798  7 F 1.97-2.11
4 Nb 0.6313 0.6798 0.3202  7 F 1.97-2.11
5 F 0.4687 0.9369 0.3210  1 Nb 1.97
6 F 0.8654 0.9560 0.8022  1 Nb 1.98
7 F 0.7733 0.4369 0.8210  1 Nb 1.97
8 F 0.1236 0.5440 0.6978  1 Nb 1.98
9 F 0.9687 0.8210 0.4369  1 Nb 1.97
10 F 0.3764 0.8022 0.9560  1 Nb 1.98
11 F 0.6345 0.2838 0.7162  2 Nb 2.11
12 F 0.1346 0.0440 0.1978  1 Nb 1.98
13 F 0.1345 0.2162 0.7838  2 Nb 2.11
14 F 0.6236 0.1978 0.0440  1 Nb 1.98
15 F 0.6346 0.6978 0.5440  1 Nb 1.98
16 F 0.3654 0.3021 0.4560  1 Nb 1.98
17 F 0.0313 0.1790 0.5631  1 Nb 1.97
18 F 0.2733 0.3210 0.9369  1 Nb 1.97
19 F 0.8764 0.4560 0.3021  1 Nb 1.98
20 F 0.5313 0.0631 0.6790  1 Nb 1.97
21 F 0.8655 0.7839 0.2162  2 Nb 2.11
22 F 0.7267 0.6790 0.0631  1 Nb 1.97
23 F 0.3655 0.7161 0.2838  2 Nb 2.11
24 F 0.5000 0.5000 0.5000  2 Nb 2.09
25 F 0.2267 0.5631 0.1790  1 Nb 1.97
26 F 0.0000 0.0000 0.0000  2 Nb 2.09
27 Sr 0.7500 0.7500 0.7500  8 F 2.50-2.53
28 Sr 0.2500 0.2500 0.2500  8 F 2.50-2.53

---

Here is a relaxed SrOs2Cl crystal from Alexandria. Energies are from GGA-PBE.

formation energy (no corrections): 0.355 eV/atom
space-group type: P4/mmm, No. 123
energy: -6.142 eV per atom
energy above the lowest structure with this stoichiometry: 1.699 eV per formula unit
D(E_F): 4.5 states/eV per cell

a = 6.4078 Å, b = 3.6974 Å, c = 3.6974 Å
α = 90.00°, β = 90.00°, γ = 90.00°
Last column: nearest neighbours and their distance in Å.
Atoms (fractional coordinates):
1 Os 0.0000 0.5000 0.5000  4 Os 2.61
2 Os 0.0000 0.0000 0.0000  4 Os 2.61
3 Sr 0.5000 0.5000 0.0000  4 Cl 2.61
4 Cl 0.5000 0.0000 0.5000  4 Sr 2.61